NbB2Mo: relaxed, PBE.

Lattice parameters (Å, degrees): 6.0587 6.0587 6.0587 132.23 132.23 69.87
Sites, in units of the cell vectors:
Nb1 0.0000 0.0000 0.0000
Nb2 0.7500 0.2500 0.5000
B1 0.1436 0.6250 0.0186
B2 0.3750 0.3936 0.5186
B3 0.6064 0.1250 0.9814
B4 0.8750 0.8564 0.4814
Mo1 0.2500 0.7500 0.5000
Mo2 0.5000 0.5000 0.0000

The energy above the most stable polymorph in this dataset is 1319 meV/atom. For the density of states at the Fermi level, the calculation gives 8.72 states/eV/cell. The value obtained for the energy of formation from the pure elements is 2.68 eV per formula unit.


PbBr: relaxed, PBE.

Lattice parameters (Å, degrees): 4.5868 4.5868 7.1117 90.00 90.00 90.00
Sites, in units of the cell vectors:
Pb1 0.2500 0.7500 0.0000
Pb2 0.7500 0.2500 0.0000
Br1 0.2500 0.2500 0.3300
Br2 0.7500 0.7500 0.6700

The value obtained for the formation energy (no corrections) is -0.298 eV per atom. For the density of states at the Fermi level, the calculation gives 2.33 states/eV/cell.


TmThTi: relaxed, PBE.

Lattice parameters (Å, degrees): 5.2105 5.2105 3.3911 90.00 90.00 120.00
Sites, in units of the cell vectors:
Tm1 0.0000 0.0000 0.0000
Th1 0.3333 0.6667 0.5000
Ti1 0.6667 0.3333 0.0000

For the density of states at the Fermi level, the calculation gives 3.98 states/eV/cell. The value obtained for the energy of formation from the pure elements is 0.61 eV per formula unit.